(1)
A plane-wave DFT calculation with PBE was carried out for a relaxed Dy2Y2ErTm2Ni2Te2 crystal.

Properties
magnetization: 0.01 μB per formula unit
offset from the most stable computed form: 7 meV per atom
space-group type: Imm2

Lattice parameters (Å, degrees): 9.324 9.324 9.324 156.22 66.86 118.55
Element x y z (fractional)
Dy (0.185, 0.000, 0.185)
Dy (0.815, 0.000, 0.815)
Y (0.502, 0.649, 0.854)
Y (0.795, 0.649, 0.146)
Er (0.880, 0.380, 0.500)
Tm (0.164, 0.797, 0.367)
Tm (0.430, 0.797, 0.633)
Ni (0.049, 0.309, 0.740)
Ni (0.569, 0.309, 0.260)
Te (0.146, 0.146, 0.000)
Te (0.542, 0.042, 0.500)

---

(2)
A plane-wave DFT calculation with PBE was carried out for a relaxed BiTeWAu crystal.

Properties
magnetization: 1.43 μB per formula unit
offset from the most stable computed form: 113 meV per atom
space-group type: F-43m

Lattice parameters (Å, degrees): 7.073 7.073 7.073 90.00 90.00 90.00
Element x y z (fractional)
Bi (0.000, 0.000, 0.000)
Bi (0.000, 0.500, 0.500)
Bi (0.500, 0.000, 0.500)
Bi (0.500, 0.500, 0.000)
Te (0.250, 0.250, 0.250)
Te (0.250, 0.750, 0.750)
Te (0.750, 0.250, 0.750)
Te (0.750, 0.750, 0.250)
W (0.000, 0.000, 0.500)
W (0.000, 0.500, 0.000)
W (0.500, 0.000, 0.000)
W (0.500, 0.500, 0.500)
Au (0.250, 0.250, 0.750)
Au (0.250, 0.750, 0.250)
Au (0.750, 0.250, 0.250)
Au (0.750, 0.750, 0.750)

---

(3)
A plane-wave DFT calculation with PBE was carried out for a relaxed TbYSb crystal.

Properties
magnetization: 0.18 μB per formula unit
raw total energy: -0.415 Ry per atom
space-group type: F-43m

Lattice parameters (Å, degrees): 7.188 7.188 7.188 90.00 90.00 90.00
Element x y z (fractional)
Tb (0.000, 0.000, 0.000)
Tb (0.000, 0.500, 0.500)
Tb (0.500, 0.000, 0.500)
Tb (0.500, 0.500, 0.000)
Y (0.000, 0.000, 0.500)
Y (0.000, 0.500, 0.000)
Y (0.500, 0.000, 0.000)
Y (0.500, 0.500, 0.500)
Sb (0.250, 0.250, 0.250)
Sb (0.250, 0.750, 0.750)
Sb (0.750, 0.250, 0.750)
Sb (0.750, 0.750, 0.250)

---

(4)
A plane-wave DFT calculation with PBE was carried out for a relaxed Ga2CoB crystal.

Properties
magnetization: 0.00 μB per formula unit
raw total energy: -0.313 Ry per atom
space-group type: F-43m

Lattice parameters (Å, degrees): 5.779 5.779 5.779 90.00 90.00 90.00
Element x y z (fractional)
Ga (0.000, 0.000, 0.000)
Ga (0.000, 0.500, 0.500)
Ga (0.250, 0.250, 0.250)
Ga (0.250, 0.750, 0.750)
Ga (0.500, 0.000, 0.500)
Ga (0.500, 0.500, 0.000)
Ga (0.750, 0.250, 0.750)
Ga (0.750, 0.750, 0.250)
Co (0.250, 0.250, 0.750)
Co (0.250, 0.750, 0.250)
Co (0.750, 0.250, 0.250)
Co (0.750, 0.750, 0.750)
B (0.000, 0.000, 0.500)
B (0.000, 0.500, 0.000)
B (0.500, 0.000, 0.000)
B (0.500, 0.500, 0.500)

---

(5)
A plane-wave DFT calculation with PBE was carried out for a relaxed PrInSiPt2 crystal.

Properties
magnetization: 0.01 μB per formula unit
raw total energy: -0.440 Ry per atom
space-group type: P4/nmm

Lattice parameters (Å, degrees): 4.327 4.327 10.835 90.00 90.00 90.00
Element x y z (fractional)
Pr (0.250, 0.250, 0.235)
Pr (0.750, 0.750, 0.765)
In (0.250, 0.750, 0.500)
In (0.750, 0.250, 0.500)
Si (0.250, 0.250, 0.885)
Si (0.750, 0.750, 0.115)
Pt (0.250, 0.250, 0.667)
Pt (0.250, 0.750, 0.000)
Pt (0.750, 0.250, 0.000)
Pt (0.750, 0.750, 0.333)

---

(6)
A plane-wave DFT calculation with PBE was carried out for a relaxed DyTmGa4Cu2 crystal.

Properties
magnetization: 0.01 μB per formula unit
raw total energy: -0.300 Ry per atom
space-group type: Amm2

Lattice parameters (Å, degrees): 6.524 4.303 10.050 90.00 90.00 90.00
Element x y z (fractional)
Dy (0.000, 0.000, 0.000)
Dy (0.000, 0.500, 0.500)
Tm (0.500, 0.000, 0.178)
Tm (0.500, 0.500, 0.678)
Ga (0.199, 0.000, 0.715)
Ga (0.199, 0.500, 0.215)
Ga (0.302, 0.000, 0.461)
Ga (0.302, 0.500, 0.961)
Ga (0.698, 0.000, 0.461)
Ga (0.698, 0.500, 0.961)
Ga (0.801, 0.000, 0.715)
Ga (0.801, 0.500, 0.215)
Cu (0.000, 0.000, 0.290)
Cu (0.000, 0.500, 0.790)
Cu (0.500, 0.000, 0.887)
Cu (0.500, 0.500, 0.387)

---

(7)
A plane-wave DFT calculation with PBE was carried out for a relaxed TmSb2 crystal.

Properties
magnetization: 0.00 μB per formula unit
raw total energy: -0.315 Ry per atom
space-group type: Fd-3m

Lattice parameters (Å, degrees): 6.232 6.232 6.232 60.00 60.00 60.00
Element x y z (fractional)
Tm (0.125, 0.125, 0.125)
Tm (0.875, 0.875, 0.875)
Sb (0.000, 0.500, 0.500)
Sb (0.500, 0.000, 0.500)
Sb (0.500, 0.500, 0.000)
Sb (0.500, 0.500, 0.500)

---

(8)
A plane-wave DFT calculation with PBE was carried out for a relaxed ScAlRe crystal.

Properties
magnetization: 0.29 μB per formula unit
offset from the most stable computed form: 589 meV per atom
space-group type: F-43m

Lattice parameters (Å, degrees): 6.208 6.208 6.208 90.00 90.00 90.00
Element x y z (fractional)
Sc (0.000, 0.000, 0.000)
Sc (0.000, 0.500, 0.500)
Sc (0.500, 0.000, 0.500)
Sc (0.500, 0.500, 0.000)
Al (0.000, 0.000, 0.500)
Al (0.000, 0.500, 0.000)
Al (0.500, 0.000, 0.000)
Al (0.500, 0.500, 0.500)
Re (0.250, 0.250, 0.750)
Re (0.250, 0.750, 0.250)
Re (0.750, 0.250, 0.250)
Re (0.750, 0.750, 0.750)

---

(9)
A plane-wave DFT calculation with PBE was carried out for a relaxed LiTbCu4 crystal.

Properties
magnetization: 0.00 μB per formula unit
raw total energy: -0.277 Ry per atom
space-group type: F-43m

Lattice parameters (Å, degrees): 5.037 5.037 5.037 60.00 60.00 60.00
Element x y z (fractional)
Li (0.000, 0.000, 0.000)
Tb (0.750, 0.750, 0.750)
Cu (0.373, 0.373, 0.373)
Cu (0.373, 0.373, 0.880)
Cu (0.373, 0.880, 0.373)
Cu (0.880, 0.373, 0.373)

---

(10)
A plane-wave DFT calculation with PBE was carried out for a relaxed KZrTe2AuSe crystal.

Properties
magnetization: 0.01 μB per formula unit
offset from the most stable computed form: 0 meV per atom
space-group type: P2_1/m

Lattice parameters (Å, degrees): 8.695 4.116 10.956 90.00 111.97 90.00
Element x y z (fractional)
K (0.228, 0.250, 0.273)
K (0.772, 0.750, 0.727)
Zr (0.299, 0.750, 0.822)
Zr (0.701, 0.250, 0.178)
Te (0.280, 0.750, 0.555)
Te (0.433, 0.750, 0.120)
Te (0.567, 0.250, 0.880)
Te (0.720, 0.250, 0.445)
Au (0.084, 0.250, 0.603)
Au (0.916, 0.750, 0.397)
Se (0.105, 0.250, 0.847)
Se (0.895, 0.750, 0.153)

---

(11)
A plane-wave DFT calculation with PBE was carried out for a relaxed Lu2Cu3W4C3 crystal.

Properties
magnetization: 0.00 μB per formula unit
raw total energy: -0.623 Ry per atom
space-group type: C2/c

Lattice parameters (Å, degrees): 5.399 5.399 13.737 101.96 101.96 59.98
Element x y z (fractional)
Lu (0.043, 0.881, 0.621)
Lu (0.119, 0.957, 0.879)
Lu (0.881, 0.043, 0.121)
Lu (0.957, 0.119, 0.379)
Cu (0.087, 0.400, 0.752)
Cu (0.400, 0.087, 0.252)
Cu (0.427, 0.573, 0.250)
Cu (0.573, 0.427, 0.750)
Cu (0.600, 0.913, 0.748)
Cu (0.913, 0.600, 0.248)
W (0.195, 0.349, 0.082)
W (0.291, 0.486, 0.418)
W (0.349, 0.195, 0.582)
W (0.486, 0.291, 0.918)
W (0.514, 0.709, 0.082)
W (0.651, 0.805, 0.418)
W (0.709, 0.514, 0.582)
W (0.805, 0.651, 0.918)
C (0.000, 0.500, 0.500)
C (0.169, 0.661, 0.000)
C (0.339, 0.831, 0.500)
C (0.500, 0.000, 0.000)
C (0.661, 0.169, 0.500)
C (0.831, 0.339, 0.000)

---

(12)
A plane-wave DFT calculation with PBE was carried out for a relaxed HfZrAs2S2 crystal.

Properties
magnetization: 0.00 μB per formula unit
raw total energy: -0.529 Ry per atom
space-group type: Imm2

Lattice parameters (Å, degrees): 3.617 5.126 12.428 90.00 90.00 90.00
Element x y z (fractional)
Hf (0.000, 0.000, 0.000)
Hf (0.500, 0.500, 0.500)
Zr (0.000, 0.000, 0.722)
Zr (0.500, 0.500, 0.222)
As (0.000, 0.238, 0.361)
As (0.000, 0.762, 0.361)
As (0.500, 0.262, 0.861)
As (0.500, 0.738, 0.861)
S (0.000, 0.500, 0.070)
S (0.000, 0.500, 0.648)
S (0.500, 0.000, 0.148)
S (0.500, 0.000, 0.570)